(1)
## LaNd6Se8 (GGA-PBE)

Data for an optimized crystal structure of LaNd6Se8.

## Properties
The calculation puts the calculated total energy at -5.978 eV/atom.

CIF file:
```
data_LaNd6Se8
_chemical_formula_sum 'La4 Nd24 Se32'
_symmetry_space_group_name_H-M 'F m -3 m'
_symmetry_Int_Tables_number 225
_symmetry_space_group_name_Hall '-F 4 2 3'
_cell_length_a 11.952
_cell_length_b 11.952
_cell_length_c 11.952
_cell_angle_alpha 90.00
_cell_angle_beta 90.00
_cell_angle_gamma 90.00
loop_
_atom_site_label
_atom_site_fract_x
_atom_site_fract_y
_atom_site_fract_z
La1 0.000 0.000 0.000
Nd1 0.000 0.250 0.250
Se1 0.000 0.000 0.255
Se2 0.250 0.250 0.250
```

---

(2)
## CoHg2Os (GGA-PBE)

Data for an optimized crystal structure of CoHg2Os.

## Properties
The formation enthalpy at 0 K comes out at 0.926 eV per atom. As for the energy relative to the lowest polymorph listed for this composition: 45.5 kJ/mol of atoms.

CIF file:
```
data_CoHg2Os
_chemical_formula_sum 'Co4 Hg8 Os4'
_symmetry_space_group_name_H-M 'F m -3 m'
_symmetry_Int_Tables_number 225
_symmetry_space_group_name_Hall '-F 4 2 3'
_cell_length_a 6.454
_cell_length_b 6.454
_cell_length_c 6.454
_cell_angle_alpha 90.00
_cell_angle_beta 90.00
_cell_angle_gamma 90.00
loop_
_atom_site_label
_atom_site_fract_x
_atom_site_fract_y
_atom_site_fract_z
Co1 0.000 0.000 0.000
Hg1 0.250 0.250 0.250
Os1 0.000 0.000 0.500
```